Here is crystalline HoSc3 at its relaxed geometry from Alexandria via LeMat-Bulk. Energies are from PBE.

Cell lengths 5.510, 6.309, 6.309 Å; angles 91.40, 90.00, 90.00 degrees
Atoms (fractional coordinates):
Ho1 0.750 0.583 0.417
Ho2 0.250 0.417 0.583
Sc1 0.250 0.086 0.914
Sc2 0.750 0.914 0.086
Sc3 0.250 0.593 0.081
Sc4 0.750 0.407 0.919
Sc5 0.250 0.919 0.407
Sc6 0.750 0.081 0.593

## Properties
Total magnetic moment (Bohr magnetons per cell): 0.0
Distance to the lowest polymorph of the same formula (eV per formula unit): 0.818
Formation energy (kJ/mol of atoms): 21.5

=====

Here is crystalline Ac2ErIn4Ag3 at its relaxed geometry from Alexandria via LeMat-Bulk. Energies are from PBE.

Cell lengths 4.635, 4.635, 12.777 Å; angles 90.00, 90.00, 90.00 degrees
Atoms (fractional coordinates):
Ac1 0.500 0.000 0.236
Ac2 0.000 0.500 0.764
Er1 0.500 0.500 0.500
In1 0.500 0.500 0.000
In2 0.000 0.000 0.000
In3 0.500 0.000 0.654
In4 0.000 0.500 0.346
Ag1 0.000 0.000 0.500
Ag2 0.500 0.000 0.868
Ag3 0.000 0.500 0.132

## Properties
Total magnetic moment (Bohr magnetons per cell): 0.0
Formation energy (kJ/mol of atoms): -31.5

=====

Here is crystalline LiCu8Si2 at its relaxed geometry from Alexandria via LeMat-Bulk. Energies are from PBE.

Cell lengths 4.311, 6.434, 6.434 Å; angles 118.28, 103.30, 103.30 degrees
Atoms (fractional coordinates):
Li1 0.500 0.000 0.000
Cu1 0.874 0.908 0.677
Cu2 0.874 0.677 0.908
Cu3 0.309 0.595 0.595
Cu4 0.500 0.781 0.219
Cu5 0.500 0.219 0.781
Cu6 0.691 0.405 0.405
Cu7 0.126 0.323 0.092
Cu8 0.126 0.092 0.323
Si1 0.000 0.307 0.693
Si2 0.000 0.693 0.307

## Properties
Total magnetic moment (Bohr magnetons per cell): 0.0
Distance to the lowest polymorph of the same formula (eV per formula unit): 1.256
Formation energy from raw total energies (eV per atom): 0.034